MoAuNF2 | PBE+U | optimized geometry Values from VASP.

## Properties
DFT total energy   -5.0429 eV per atom
Total moment   1.84 μB per formula unit

The structure in Quantum ESPRESSO input format:
```
&SYSTEM
  ibrav = 0, nat = 5, ntyp = 4
/
ATOMIC_SPECIES
Mo 95.94 Mo.upf
Au 196.97 Au.upf
N 14.01 N.upf
F 19.00 F.upf
CELL_PARAMETERS angstrom
4.2289 0.0000 0.0000
0.0000 4.2289 0.0000
0.0000 0.0000 4.0418
ATOMIC_POSITIONS crystal
Mo 0.0000 0.0000 0.0000
Au 0.5000 0.5000 0.5000
N 0.0000 0.0000 0.5000
F 0.0000 0.5000 0.0000
F 0.5000 0.0000 0.0000
```